[1]
DFT (meta-GGA SCAN) results for AlC3 at its PBEsol-relaxed geometry.

Unit cell a=4.1706 b=4.1706 c=5.4772 alpha=90.00 beta=90.00 gamma=120.00
Fractional positions:
Al: 0.3333 0.6667 0.2500
Al: 0.6667 0.3333 0.7500
C: 0.1159 0.2317 0.7500
C: 0.1159 0.8841 0.7500
C: 0.2317 0.1159 0.2500
C: 0.7683 0.8841 0.7500
C: 0.8841 0.1159 0.2500
C: 0.8841 0.7683 0.2500

Values from the calculation:
Calculated density: 2.54 g/cm³
Magnetic moment: 0.000 Bohr magnetons per cell
V: 10.31 A^3/atom
Crystal system: hexagonal
E: -7.851 eV/atom
Energy relative to the elements: 1.662 eV/atom



[2]
DFT (meta-GGA SCAN) results for AlC at its PBEsol-relaxed geometry.

Unit cell a=2.8752 b=2.8752 c=5.3543 alpha=90.00 beta=90.00 gamma=120.00
Fractional positions:
Al: 0.0000 0.0000 0.0000
Al: 0.0000 0.0000 0.5000
C: 0.3333 0.6667 0.2500
C: 0.6667 0.3333 0.7500

Values from the calculation:
Calculated density: 3.38 g/cm³
Magnetic moment: 0.001 Bohr magnetons per cell
V: 9.58 A^3/atom
Crystal system: hexagonal
E: -8.454 eV/atom
Energy relative to the elements: 0.472 eV/atom



[3]
DFT (meta-GGA SCAN) results for Al2C3 at its PBEsol-relaxed geometry.

Unit cell a=6.4884 b=6.4884 c=6.4884 alpha=25.01 beta=25.01 gamma=25.01
Fractional positions:
Al: 0.1095 0.1095 0.1095
Al: 0.8905 0.8905 0.8905
C: 0.3182 0.3182 0.3182
C: 0.5000 0.5000 0.5000
C: 0.6818 0.6818 0.6818

Values from the calculation:
Calculated density: 3.48 g/cm³
Magnetic moment: 0.000 Bohr magnetons per cell
V: 8.59 A^3/atom
Crystal system: trigonal
E: -8.526 eV/atom
Energy relative to the elements: 0.635 eV/atom



[4]
DFT (meta-GGA SCAN) results for AlC at its PBEsol-relaxed geometry.

Unit cell a=3.8402 b=3.8402 c=2.8307 alpha=90.00 beta=90.00 gamma=90.00
Fractional positions:
Al: 0.2500 0.7500 0.0000
Al: 0.7500 0.2500 0.0000
C: 0.2500 0.2500 0.2486
C: 0.7500 0.7500 0.7514

Values from the calculation:
Calculated density: 3.10 g/cm³
Magnetic moment: 0.001 Bohr magnetons per cell
V: 10.44 A^3/atom
Crystal system: tetragonal
E: -8.125 eV/atom
Energy relative to the elements: 0.801 eV/atom



Q: Look up the E of the first one.
A: -7.851 eV/atom



Q: Which of these has the highest V?
A: number 4